(1)
This record from Alexandria via LeMat-Bulk describes an optimized crystal structure of La2PmSm9. The functional is PBE.

Cell: 5.1623 5.1623 15.4967 Å, 90.00 90.00 90.00°
Last column: nearest neighbours and their distance in Å.
Sites, in units of the cell vectors:
1 La 0.0000 0.0000 0.1667  12 Sm 3.65-3.67
2 La 0.0000 0.0000 0.8333  12 Sm 3.65-3.67
3 Pm 0.0000 0.0000 0.5000  12 Sm 3.63-3.65
4 Sm 0.0000 0.5000 0.0000  8 Sm 3.65-3.66, 4 La 3.65
5 Sm 0.0000 0.5000 0.3351  2 Pm 3.63, 8 Sm 3.63-3.66, 2 La 3.67
6 Sm 0.0000 0.5000 0.6649  2 Pm 3.63, 8 Sm 3.63-3.66, 2 La 3.67
7 Sm 0.5000 0.0000 0.0000  8 Sm 3.65-3.66, 4 La 3.65
8 Sm 0.5000 0.0000 0.3351  2 Pm 3.63, 8 Sm 3.63-3.66, 2 La 3.67
9 Sm 0.5000 0.0000 0.6649  2 Pm 3.63, 8 Sm 3.63-3.66, 2 La 3.67
10 Sm 0.5000 0.5000 0.1679  4 La 3.65, 8 Sm 3.66
11 Sm 0.5000 0.5000 0.5000  8 Sm 3.63, 4 Pm 3.65
12 Sm 0.5000 0.5000 0.8321  4 La 3.65, 8 Sm 3.66

Computed properties:
crystal system: tetragonal
calculated volume: 34.4 Å³/atom
ΔH_f (0 K): 0.019 eV per atom
space group: No. 123
E: -56.9 eV/cell
Fermi-level density of states: 1.74 states/eV/atom

=====

(2)
This record from Alexandria via LeMat-Bulk describes an optimized crystal structure of ZrTe2SI. The functional is PBE.

Cell: 5.7235 5.7235 4.8836 Å, 90.00 90.00 90.00°
Last column: nearest neighbours and their distance in Å.
Sites, in units of the cell vectors:
1 Zr 0.0000 0.0000 0.0000  2 S 2.44
2 Te 0.0000 0.5000 0.0000  2 Zr 2.86
3 Te 0.5000 0.0000 0.0000  2 Zr 2.86
4 S 0.0000 0.0000 0.5000  2 Zr 2.44
5 I 0.5000 0.5000 0.5000  8 Te 3.76, 4 S 4.05

Computed properties:
distance to the lowest polymorph of the same formula: 0.0000 eV/atom
crystal system: tetragonal
calculated volume: 32.0 Å³/atom
space group: No. 123
E: -21.9 eV/cell
Fermi-level density of states: 1.12 states/eV/atom

=====

(3)
This record from Alexandria via LeMat-Bulk describes an optimized crystal structure of RbU2Br11. The functional is PBE.

Cell: 11.9774 11.9774 11.9774 Å, 112.91 112.58 103.10°
Last column: nearest neighbours and their distance in Å.
Sites, in units of the cell vectors:
1 Rb 0.2500 0.2500 0.0000  8 Br 3.78-3.84
2 Rb 0.7500 0.7500 0.0000  8 Br 3.78-3.84
3 U 0.1589 0.6488 0.8076  6 Br 2.62-2.89
4 U 0.3411 0.1488 0.4899  6 Br 2.62-2.89
5 U 0.6589 0.8512 0.5101  6 Br 2.62-2.89
6 U 0.8411 0.3512 0.1924  6 Br 2.62-2.89
7 Br 0.0000 0.5000 0.5000  2 U 2.89
8 Br 0.0679 0.3768 0.1885  1 U 2.68
9 Br 0.1183 0.9148 0.2870  1 U 2.68
10 Br 0.1278 0.4148 0.7965  1 U 2.68
11 Br 0.1884 0.8795 0.8115  1 U 2.68
12 Br 0.1969 0.2835 0.4804  1 U 2.62
13 Br 0.3031 0.7835 0.0867  1 U 2.62
14 Br 0.3116 0.1232 0.6911  1 U 2.68
15 Br 0.3722 0.1686 0.2870  1 U 2.68
16 Br 0.3817 0.6686 0.7965  1 U 2.68
17 Br 0.4321 0.6205 0.3089  1 U 2.68
18 Br 0.5000 0.0000 0.5000  2 U 2.89
19 Br 0.5679 0.3795 0.6911  1 U 2.68
20 Br 0.6183 0.3314 0.2035  1 U 2.68
21 Br 0.6278 0.8314 0.7130  1 U 2.68
22 Br 0.6884 0.8768 0.3089  1 U 2.68
23 Br 0.6969 0.2165 0.9133  1 U 2.62
24 Br 0.8031 0.7165 0.5196  1 U 2.62
25 Br 0.8116 0.1205 0.1885  1 U 2.68
26 Br 0.8722 0.5852 0.2035  1 U 2.68
27 Br 0.8817 0.0852 0.7130  1 U 2.68
28 Br 0.9321 0.6232 0.8115  1 U 2.68

Computed properties:
crystal system: orthorhombic
calculated volume: 46.8 Å³/atom
space group: No. 72
E: -120.2 eV/cell
Fermi-level density of states: 0.01 states/eV/atom

=====

(4)
This record from Alexandria via LeMat-Bulk describes an optimized crystal structure of LiZr5Zn6. The functional is PBE.

Cell: 8.0946 8.0946 8.0946 Å, 146.69 131.12 60.44°
Last column: nearest neighbours and their distance in Å.
Sites, in units of the cell vectors:
1 Li 0.0000 0.0000 0.0000  8 Zn 2.71-2.76
2 Zr 0.1724 0.6724 0.5000  8 Zn 2.81-2.96
3 Zr 0.3364 0.3364 0.0000  8 Zn 2.93-2.94, 4 Zr 3.26
4 Zr 0.5000 0.0000 0.5000  8 Zn 2.85-2.97
5 Zr 0.6636 0.6636 0.0000  8 Zn 2.93-2.94, 4 Zr 3.26
6 Zr 0.8276 0.3276 0.5000  8 Zn 2.81-2.96
7 Zn 0.0752 0.8416 0.2336  1 Li 2.71, 7 Zr 2.81-2.96
8 Zn 0.2232 0.5000 0.7232  2 Li 2.76, 6 Zr 2.84-2.97, 1 Zn 2.99
9 Zn 0.3921 0.1584 0.2336  1 Li 2.71, 7 Zr 2.81-2.96
10 Zn 0.6079 0.8416 0.7664  1 Li 2.71, 7 Zr 2.81-2.96
11 Zn 0.7768 0.5000 0.2768  2 Li 2.76, 6 Zr 2.84-2.97, 1 Zn 2.99
12 Zn 0.9248 0.1584 0.7664  1 Li 2.71, 7 Zr 2.81-2.96

Computed properties:
crystal system: orthorhombic
calculated volume: 18.1 Å³/atom
ΔH_f (0 K): -0.235 eV per atom
space group: No. 71
E: -55.1 eV/cell
Fermi-level density of states: 0.83 states/eV/atom